Compound: ZrTl2Sb
Source: Alexandria via LeMat-Bulk
Functional: meta-GGA SCAN
Structure: single point on PBEsol structure

For the magnetization, the calculation gives 0.0 Bohr magnetons per cell. Its crystal system is orthorhombic. The value obtained for the volume is 23.77 Å³/atom. For the energy above the most stable polymorph in this dataset, the calculation gives 1.02 kcal/mol of atoms.

It has space group Imm2 (No. 44), with a = 4.2291 Å, b = 4.7757 Å, c = 9.4171 Å, α = 90.00°, β = 90.00° and γ = 90.00°. The distinct sites, in fractional coordinates, are Zr at (0.0000, 0.0000, 0.0000), Tl at (0.0000, 0.0000, 0.5033), Tl at (0.0000, 0.5000, 0.2552) and Sb at (0.0000, 0.5000, 0.7447).

Compound: Zr2TlSb
Source: Alexandria via LeMat-Bulk
Functional: meta-GGA SCAN
Structure: single point on PBEsol structure

For the magnetization, the calculation gives 0.0 Bohr magnetons per cell. Its crystal system is tetragonal. The value obtained for the volume is 22.04 Å³/atom.

It has space group P4/mmm (No. 123), with a = 3.6372 Å, b = 3.6372 Å, c = 6.6635 Å, α = 90.00°, β = 90.00° and γ = 90.00°. The distinct sites, in fractional coordinates, are Zr at (0.0000, 0.0000, 0.2345), Tl at (0.5000, 0.5000, 0.5000) and Sb at (0.5000, 0.5000, 0.0000).

Compound: TmSb
Source: Alexandria via LeMat-Bulk
Functional: meta-GGA SCAN
Structure: single point on PBEsol structure

For the magnetization, the calculation gives 0.0 Bohr magnetons per cell. Its crystal system is cubic. The value obtained for the volume is 27.52 Å³/atom.

It has space group Fm-3m (No. 225), with a = 6.0384 Å, b = 6.0384 Å, c = 6.0384 Å, α = 90.00°, β = 90.00° and γ = 90.00°. The distinct sites, in fractional coordinates, are Tm at (0.0000, 0.0000, 0.0000) and Sb at (0.0000, 0.0000, 0.5000).

Compound: Tm5Sb3
Source: Alexandria via LeMat-Bulk
Functional: meta-GGA SCAN
Structure: single point on PBEsol structure

For the magnetization, the calculation gives 0.0 Bohr magnetons per cell. Its crystal system is hexagonal. The value obtained for the volume is 25.24 Å³/atom. For the energy above the most stable polymorph in this dataset, the calculation gives 0.00 kcal/mol of atoms.

It has space group P6_3/mcm (No. 193), with a = 8.7365 Å, b = 8.7365 Å, c = 6.1091 Å, α = 90.00°, β = 90.00° and γ = 120.00°. The distinct sites, in fractional coordinates, are Tm at (0.0000, 0.2457, 0.2500), Tm at (0.3333, 0.6667, 0.0000) and Sb at (0.0000, 0.3902, 0.7500).

Compound: Tm5Sb3
Source: Alexandria via LeMat-Bulk
Functional: meta-GGA SCAN
Structure: single point on PBEsol structure

For the magnetization, the calculation gives 0.0 Bohr magnetons per cell. Its crystal system is orthorhombic. The value obtained for the volume is 25.81 Å³/atom. For the energy above the most stable polymorph in this dataset, the calculation gives 0.16 kcal/mol of atoms.

It has space group Pnma (No. 62), with a = 11.4928 Å, b = 9.0784 Å, c = 7.9163 Å, α = 90.00°, β = 90.00° and γ = 90.00°. The distinct sites, in fractional coordinates, are Tm at (0.0045, 0.2500, 0.0237), Tm at (0.0647, 0.0592, 0.6913), Tm at (0.2104, 0.7500, 0.3424), Tm at (0.2286, 0.2500, 0.3253), Sb at (0.0255, 0.7500, 0.5972) and Sb at (0.1747, 0.5088, 0.0634).

Compound: TmSb
Source: Alexandria via LeMat-Bulk
Functional: meta-GGA SCAN
Structure: single point on PBEsol structure

For the magnetization, the calculation gives 0.0 Bohr magnetons per cell. Its crystal system is cubic. The value obtained for the volume is 25.34 Å³/atom.

It has space group Pm-3m (No. 221), with a = 3.7005 Å, b = 3.7005 Å, c = 3.7005 Å, α = 90.00°, β = 90.00° and γ = 90.00°. The distinct sites, in fractional coordinates, are Tm at (0.0000, 0.0000, 0.0000) and Sb at (0.5000, 0.5000, 0.5000).

Compound: Tm3Sb
Source: Alexandria via LeMat-Bulk
Functional: meta-GGA SCAN
Structure: single point on PBEsol structure

For the magnetization, the calculation gives 0.0 Bohr magnetons per cell. Its crystal system is tetragonal. The value obtained for the volume is 27.16 Å³/atom.

It has space group P4_2/n (No. 86, origin choice 2), with a = 12.0240 Å, b = 12.0240 Å, c = 6.0121 Å, α = 90.00°, β = 90.00° and γ = 90.00°. The distinct sites, in fractional coordinates, are Tm at (0.0360, 0.9235, 0.2336), Tm at (0.1046, 0.2814, 0.0361), Tm at (0.1414, 0.8333, 0.7131) and Sb at (0.0507, 0.2930, 0.5407).

Compound: TmZrSb
Source: Alexandria via LeMat-Bulk
Functional: meta-GGA SCAN
Structure: single point on PBEsol structure

For the magnetization, the calculation gives 0.0 Bohr magnetons per cell. Its crystal system is tetragonal. The value obtained for the volume is 23.76 Å³/atom.

It has space group I4/mmm (No. 139), with a = 4.1886 Å, b = 4.1886 Å, c = 16.2538 Å, α = 90.00°, β = 90.00° and γ = 90.00°. The distinct sites, in fractional coordinates, are Tm at (0.0000, 0.0000, 0.1765), Zr at (0.0000, 0.5000, 0.0000) and Sb at (0.0000, 0.0000, 0.3647).

Compound: USb
Source: Alexandria via LeMat-Bulk
Functional: meta-GGA SCAN
Structure: single point on PBEsol structure

For the magnetization, the calculation gives 3.5 Bohr magnetons per cell. Its crystal system is tetragonal. The value obtained for the volume is 23.96 Å³/atom.

It has space group P4/mmm (No. 123), with a = 3.9295 Å, b = 3.9295 Å, c = 3.1028 Å, α = 90.00°, β = 90.00° and γ = 90.00°. The distinct sites, in fractional coordinates, are U at (0.0000, 0.0000, 0.0000) and Sb at (0.5000, 0.5000, 0.5000).

Compound: V3Sb
Source: Alexandria via LeMat-Bulk
Functional: meta-GGA SCAN
Structure: single point on PBEsol structure

For the magnetization, the calculation gives 0.0 Bohr magnetons per cell. Its crystal system is cubic. The value obtained for the volume is 14.46 Å³/atom.

It has space group Pm-3n (No. 223), with a = 4.8722 Å, b = 4.8722 Å, c = 4.8722 Å, α = 90.00°, β = 90.00° and γ = 90.00°. The distinct sites, in fractional coordinates, are V at (0.0000, 0.2500, 0.5000) and Sb at (0.0000, 0.0000, 0.0000).

Compound: Sb4W
Source: Alexandria via LeMat-Bulk
Functional: meta-GGA SCAN
Structure: single point on PBEsol structure

For the magnetization, the calculation gives 1.6 Bohr magnetons per cell. Its crystal system is cubic. The value obtained for the volume is 26.71 Å³/atom.

It has space group Im-3m (No. 229), with a = 6.4404 Å, b = 6.4404 Å, c = 6.4404 Å, α = 90.00°, β = 90.00° and γ = 90.00°. The distinct sites, in fractional coordinates, are Sb at (0.2500, 0.2500, 0.2500) and W at (0.0000, 0.0000, 0.0000).

Compound: SbW2
Source: Alexandria via LeMat-Bulk
Functional: meta-GGA SCAN
Structure: single point on PBEsol structure

For the magnetization, the calculation gives 0.0 Bohr magnetons per cell. Its crystal system is cubic. The value obtained for the volume is 18.28 Å³/atom. For the energy above the most stable polymorph in this dataset, the calculation gives 5.40 kcal/mol of atoms.

It has space group Fd-3m (No. 227, origin choice 2), with a = 7.5992 Å, b = 7.5992 Å, c = 7.5992 Å, α = 90.00°, β = 90.00° and γ = 90.00°. The distinct sites, in fractional coordinates, are Sb at (0.1250, 0.1250, 0.1250) and W at (0.0000, 0.0000, 0.5000).

Compound: SbW2
Source: Alexandria via LeMat-Bulk
Functional: meta-GGA SCAN
Structure: single point on PBEsol structure

For the magnetization, the calculation gives 0.0 Bohr magnetons per cell. Its crystal system is monoclinic. The value obtained for the volume is 17.51 Å³/atom. For the energy above the most stable polymorph in this dataset, the calculation gives 0.00 kcal/mol of atoms.

It has space group C2/m (No. 12), with a = 10.2864 Å, b = 3.0982 Å, c = 6.9664 Å, α = 90.00°, β = 108.79° and γ = 90.00°. The distinct sites, in fractional coordinates, are Sb at (0.1747, 0.0000, 0.1473), W at (0.0440, 0.5000, 0.7874) and W at (0.1298, 0.0000, 0.5322).

no.,density of states at the Fermi level (states/eV/atom),formation energy without anion corrections (kJ/mol of formula units)
1,0.575,-22
2,0.805,-141
3,0.138,-223
4,0.814,-728
5,0.665,-723
6,0.667,-151
7,1.081,-233
8,0.959,-244
9,1.901,-23
10,0.432,-115
11,0.820,311
12,0.591,228
13,0.635,160